Compound: Ce4Ga16Au3
Source: the Alexandria database
Functional: PBE-GGA
Structure: relaxed

Output
- space-group type = P4/mmm (123)
- total magnetic moment (μB per cell) = 1.0
- D(E_F) (states/eV per atom) = 0.888
- E (eV/atom) = -4.0271
- formation enthalpy at 0 K (eV/atom) = -0.46

a = 6.3636 Å, b = 6.3636 Å, c = 11.3142 Å
α = 90.00°, β = 90.00°, γ = 90.00°
Last column: nearest neighbours and their distance in Å.
Atoms (fractional coordinates):
Ce  0.5000  0.0000  0.8122  12 Ga 3.06-3.23
Ce  0.0000  0.5000  0.1878  12 Ga 3.06-3.23
Ce  0.0000  0.5000  0.8122  12 Ga 3.06-3.23
Ce  0.5000  0.0000  0.1878  12 Ga 3.06-3.23
Ga  0.0000  0.0000  0.7634  1 Au 2.68, 4 Ga 2.78
Ga  0.2931  0.2931  0.0000  4 Ga 2.63-2.92, 1 Au 2.64
Ga  0.5000  0.5000  0.8015  8 Ga 2.92, 4 Ce 3.18
Ga  0.7069  0.2931  0.0000  4 Ga 2.63-2.92, 1 Au 2.64
Ga  0.5000  0.5000  0.1985  8 Ga 2.92, 4 Ce 3.18
Ga  0.7069  0.7069  0.0000  4 Ga 2.63-2.92, 1 Au 2.64
Ga  0.0000  0.0000  0.2366  1 Au 2.68, 4 Ga 2.78
Ga  0.7417  0.7417  0.6288  2 Au 2.68, 3 Ga 2.78-2.92
Ga  0.7417  0.2583  0.3712  2 Au 2.68, 3 Ga 2.78-2.92
Ga  0.2583  0.2583  0.6288  2 Au 2.68, 3 Ga 2.78-2.92
Ga  0.2583  0.7417  0.3712  2 Au 2.68, 3 Ga 2.78-2.92
Ga  0.2931  0.7069  0.0000  4 Ga 2.63-2.92, 1 Au 2.64
Ga  0.7417  0.7417  0.3712  2 Au 2.68, 3 Ga 2.78-2.92
Ga  0.7417  0.2583  0.6288  2 Au 2.68, 3 Ga 2.78-2.92
Ga  0.2583  0.2583  0.3712  2 Au 2.68, 3 Ga 2.78-2.92
Ga  0.2583  0.7417  0.6288  2 Au 2.68, 3 Ga 2.78-2.92
Au  0.0000  0.5000  0.5000  8 Ga 2.68
Au  0.0000  0.0000  0.0000  6 Ga 2.64-2.68
Au  0.5000  0.0000  0.5000  8 Ga 2.68